Record 1
## AlInS3 (PBE)

Data for crystalline AlInS3 at its relaxed geometry.

Space-group type: No. 11

Unit cell a=6.4709 b=3.6833 c=10.1103 alpha=90.00 beta=98.28 gamma=90.00
Last column: nearest neighbours and their distance in Å.
Positions (direct):
Al 0.0325 0.2500 0.1607  6 S 2.43-2.50
Al 0.9675 0.7500 0.8393  6 S 2.43-2.50
In 0.4982 0.2500 0.7441  4 S 2.41-2.59
In 0.5018 0.7500 0.2559  4 S 2.41-2.59
S 0.1232 0.2500 0.7319  1 In 2.41, 2 Al 2.43
S 0.2085 0.7500 0.0521  3 Al 2.47-2.50, 1 In 2.59
S 0.3169 0.2500 0.3515  1 Al 2.47, 2 In 2.47
S 0.6831 0.7500 0.6485  1 Al 2.47, 2 In 2.47
S 0.7915 0.2500 0.9479  3 Al 2.47-2.50, 1 In 2.59
S 0.8768 0.7500 0.2681  1 In 2.41, 2 Al 2.43

Record 2
## AlInS3 (PBE)

Data for crystalline AlInS3 at its relaxed geometry.

Space-group type: No. 169

Unit cell a=6.8438 b=6.8438 c=18.0859 alpha=90.00 beta=90.00 gamma=120.00
Last column: nearest neighbours and their distance in Å.
Positions (direct):
Al 0.0217 0.6864 0.0000  4 S 2.25-2.30
Al 0.3136 0.3353 0.3333  4 S 2.25-2.30
Al 0.3353 0.0217 0.1667  4 S 2.25-2.30
Al 0.6647 0.9783 0.6667  4 S 2.25-2.30
Al 0.6864 0.6647 0.8333  4 S 2.25-2.30
Al 0.9783 0.3136 0.5000  4 S 2.25-2.30
In 0.0016 0.3359 0.1382  5 S 2.52-2.71
In 0.3343 0.9984 0.8049  5 S 2.52-2.71
In 0.3359 0.3343 0.9716  5 S 2.52-2.71
In 0.6641 0.6657 0.4716  5 S 2.52-2.71
In 0.6657 0.0016 0.3049  5 S 2.52-2.71
In 0.9984 0.6641 0.6382  5 S 2.52-2.71
S 0.0083 0.7148 0.1264  2 Al 2.29-2.30
S 0.0293 0.3723 0.2865  1 Al 2.25
S 0.0297 0.6649 0.4889  1 Al 2.26, 1 In 2.52
S 0.2852 0.2935 0.4598  2 Al 2.29-2.30
S 0.2935 0.0083 0.2931  2 Al 2.29-2.30
S 0.3351 0.3648 0.8222  1 Al 2.26, 1 In 2.52
S 0.3430 0.9707 0.9532  1 Al 2.25
S 0.3648 0.0297 0.6556  1 Al 2.26, 1 In 2.52
S 0.3723 0.3430 0.1199  1 Al 2.25
S 0.6277 0.6570 0.6199  1 Al 2.25
S 0.6352 0.9703 0.1556  1 Al 2.26, 1 In 2.52
S 0.6570 0.0293 0.4532  1 Al 2.25
S 0.6649 0.6352 0.3222  1 Al 2.26, 1 In 2.52
S 0.7065 0.9917 0.7931  2 Al 2.29-2.30
S 0.7148 0.7065 0.9598  2 Al 2.29-2.30
S 0.9703 0.3351 0.9889  1 Al 2.26, 1 In 2.52
S 0.9707 0.6277 0.7865  1 Al 2.25
S 0.9917 0.2852 0.6264  2 Al 2.29-2.30

The records above give, respectively, energy relative to the elements, uncorrected values of -71.2, -79.5 kJ/mol of atoms.